VASP calculation (PBE+U) on Tm3MoCl2O6 after structural relaxation.

Values from the calculation:
magnetic moment	1.0	μB/f.u.
E	-6.994	eV per atom

The structure in CIF format:
```
data_Tm3MoCl2O6
_cell_length_a 11.3592
_cell_length_b 6.4725
_cell_length_c 5.4332
_cell_angle_alpha 90.00
_cell_angle_beta 100.65
_cell_angle_gamma 90.00
_symmetry_space_group_name_H-M 'C 1 2/m 1'
_symmetry_Int_Tables_number 12
loop_
_symmetry_equiv_pos_as_xyz
'x,y,z'
'-x,-y,-z'
'-x,y,-z'
'x,-y,z'
'x+1/2,y+1/2,z'
'-x+1/2,-y+1/2,-z'
'-x+1/2,y+1/2,-z'
'x+1/2,-y+1/2,z'
loop_
_atom_site_label
_atom_site_fract_x
_atom_site_fract_y
_atom_site_fract_z
Tm1 0.0000 0.0000 0.0000
Tm2 0.2500 0.2500 0.5000
Mo1 0.0000 0.5000 0.5000
Cl1 0.2048 0.0000 0.8463
O1 0.0598 0.2581 0.2961
O2 0.1708 0.5000 0.6687
```